No. 1
# PBE-GGA BaSrInAg, relaxed
# Energy relative to the elements, eV per atom: -0.2916
# E_tot, Ry/atom: -0.1904
# Excess energy over the best structure of this formula in the dataset, meV per atom: 15.2
# Magnetization, μB per atom: 0.00
data_BaSrInAg
_chemical_formula_sum 'Ba1 Sr1 In1 Ag1'
_space_group_name_H-M_alt 'P 1'
_space_group_IT_number 1
_space_group_name_Hall 'P 1'
_cell_length_a 5.819
_cell_length_b 5.819
_cell_length_c 5.819
_cell_angle_alpha 60.00
_cell_angle_beta 60.00
_cell_angle_gamma 60.00
loop_
_atom_site_label
_atom_site_fract_x
_atom_site_fract_y
_atom_site_fract_z
In1 0.000 0.000 0.000
Ba1 0.750 0.750 0.750
Sr1 0.250 0.250 0.250
Ag1 0.500 0.500 0.500

=====

No. 2
# PBE-GGA Cs6K3Rb2Hg, relaxed
# Energy relative to the elements, eV per atom: -0.0039
# E_tot, Ry/atom: -0.0655
# Magnetization, μB per atom: 0.00
data_Cs6K3Rb2Hg
_chemical_formula_sum 'Cs6 K3 Rb2 Hg1'
_space_group_name_H-M_alt 'P 1'
_space_group_IT_number 1
_space_group_name_Hall 'P 1'
_cell_length_a 7.244
_cell_length_b 11.427
_cell_length_c 15.998
_cell_angle_alpha 110.92
_cell_angle_beta 116.93
_cell_angle_gamma 90.00
loop_
_atom_site_label
_atom_site_fract_x
_atom_site_fract_y
_atom_site_fract_z
Rb1 0.978 0.239 0.478
Cs1 0.171 0.086 0.172
Cs2 0.312 0.186 0.811
Cs3 0.688 0.814 0.189
Rb2 0.022 0.761 0.522
K1 0.500 0.000 0.500
Cs4 0.829 0.914 0.828
Cs5 0.312 0.625 0.811
Cs6 0.688 0.375 0.189
K2 0.500 0.500 0.500
K3 0.000 0.500 0.000
Hg1 0.500 0.000 0.000

=====

No. 3
# PBE-GGA Li4Si2Ge, relaxed
# Energy relative to the elements, uncorrected, meV/atom: -101
# E_tot, Ry/atom: -0.2501
# Magnetization, μB per atom: 0.00
data_Li4Si2Ge
_chemical_formula_sum 'Li4 Si2 Ge1'
_space_group_name_H-M_alt 'P 1'
_space_group_IT_number 1
_space_group_name_Hall 'P 1'
_cell_length_a 3.976
_cell_length_b 3.973
_cell_length_c 8.420
_cell_angle_alpha 90.03
_cell_angle_beta 90.00
_cell_angle_gamma 120.02
loop_
_atom_site_label
_atom_site_fract_x
_atom_site_fract_y
_atom_site_fract_z
Li1 0.333 0.666 0.748
Ge1 0.000 0.000 0.500
Li2 0.667 0.333 0.616
Li3 0.667 0.334 0.252
Li4 0.333 0.667 0.384
Si1 0.333 0.667 0.056
Si2 0.667 0.333 0.944

=====

No. 4
# PBE-GGA Ti2Ga3Si, relaxed
# Energy relative to the elements, uncorrected, meV/atom: -376
# E_tot, Ry/atom: -0.3987
# Magnetization, μB per atom: 0.00
data_Ti2Ga3Si
_chemical_formula_sum 'Ti4 Ga6 Si2'
_space_group_name_H-M_alt 'P 1'
_space_group_IT_number 1
_space_group_name_Hall 'P 1'
_cell_length_a 3.722
_cell_length_b 6.160
_cell_length_c 9.479
_cell_angle_alpha 106.84
_cell_angle_beta 90.00
_cell_angle_gamma 107.58
loop_
_atom_site_label
_atom_site_fract_x
_atom_site_fract_y
_atom_site_fract_z
Ti1 0.472 0.943 0.144
Ga1 0.002 0.004 0.634
Ti2 0.765 0.531 0.122
Si1 0.894 0.788 0.936
Ga2 0.678 0.356 0.379
Ga3 0.325 0.650 0.337
Si2 0.106 0.212 0.064
Ga4 0.675 0.350 0.663
Ga5 0.322 0.644 0.621
Ti3 0.528 0.057 0.856
Ti4 0.235 0.469 0.878
Ga6 0.998 0.996 0.366

=====

No. 5
# PBE-GGA Tb2BeIr3, relaxed
# Energy relative to the elements, eV per atom: -0.7500
# E_tot, Ry/atom: -0.5398
# Excess energy over the best structure of this formula in the dataset, meV per atom: 0.0
# Magnetization, μB per atom: 0.00
data_Tb2BeIr3
_chemical_formula_sum 'Tb2 Be1 Ir3'
_space_group_name_H-M_alt 'P 1'
_space_group_IT_number 1
_space_group_name_Hall 'P 1'
_cell_length_a 5.031
_cell_length_b 5.031
_cell_length_c 5.031
_cell_angle_alpha 66.56
_cell_angle_beta 66.56
_cell_angle_gamma 66.56
loop_
_atom_site_label
_atom_site_fract_x
_atom_site_fract_y
_atom_site_fract_z
Ir1 0.000 0.000 0.500
Ir2 0.000 0.500 0.000
Be1 0.000 0.000 0.000
Tb1 0.373 0.373 0.373
Ir3 0.500 0.000 0.000
Tb2 0.627 0.627 0.627

=====

No. 6
# PBE-GGA ScUReTc, relaxed
# Energy relative to the elements, eV per atom: -0.0601
# E_tot, Ry/atom: -0.7474
# Magnetization, μB per atom: 0.22
data_ScUReTc
_chemical_formula_sum 'Sc1 U1 Re1 Tc1'
_space_group_name_H-M_alt 'P 1'
_space_group_IT_number 1
_space_group_name_Hall 'P 1'
_cell_length_a 4.687
_cell_length_b 4.687
_cell_length_c 4.687
_cell_angle_alpha 60.00
_cell_angle_beta 60.00
_cell_angle_gamma 60.00
loop_
_atom_site_label
_atom_site_fract_x
_atom_site_fract_y
_atom_site_fract_z
Tc1 0.500 0.500 0.500
Re1 0.000 0.000 0.000
U1 0.250 0.250 0.250
Sc1 0.750 0.750 0.750

=====

No. 7
# PBE-GGA ScTlS, relaxed
# Energy relative to the elements, uncorrected, meV/atom: -1025
# E_tot, Ry/atom: -0.3896
# Excess energy over the best structure of this formula in the dataset, meV per atom: 120.7
# Magnetization, μB per atom: 0.00
data_ScTlS
_chemical_formula_sum 'Sc2 Tl2 S2'
_space_group_name_H-M_alt 'P 1'
_space_group_IT_number 1
_space_group_name_Hall 'P 1'
_cell_length_a 3.914
_cell_length_b 6.916
_cell_length_c 5.164
_cell_angle_alpha 90.00
_cell_angle_beta 90.00
_cell_angle_gamma 90.00
loop_
_atom_site_label
_atom_site_fract_x
_atom_site_fract_y
_atom_site_fract_z
Tl1 0.500 0.948 0.052
Tl2 0.000 0.052 0.552
Sc1 0.500 0.378 0.769
Sc2 0.000 0.622 0.269
S1 0.500 0.381 0.263
S2 0.000 0.619 0.763

=====

No. 8
# PBE-GGA Zr4Hg5Pb, relaxed
# Energy relative to the elements, eV per atom: -0.1142
# E_tot, Ry/atom: -0.2981
# Magnetization, μB per atom: 0.03
data_Zr4Hg5Pb
_chemical_formula_sum 'Zr4 Hg5 Pb1'
_space_group_name_H-M_alt 'P 1'
_space_group_IT_number 1
_space_group_name_Hall 'P 1'
_cell_length_a 3.197
_cell_length_b 3.197
_cell_length_c 22.265
_cell_angle_alpha 90.00
_cell_angle_beta 90.00
_cell_angle_gamma 90.00
loop_
_atom_site_label
_atom_site_fract_x
_atom_site_fract_y
_atom_site_fract_z
Zr1 0.000 0.000 0.405
Hg1 0.500 0.500 0.309
Pb1 0.000 0.000 0.000
Hg2 0.500 0.500 0.880
Zr2 0.000 0.000 0.215
Hg3 0.500 0.500 0.691
Hg4 0.500 0.500 0.120
Hg5 0.500 0.500 0.500
Zr3 0.000 0.000 0.785
Zr4 0.000 0.000 0.595

=====

No. 9
# PBE-GGA Tl2Ni3Br8, relaxed
# Energy relative to the elements, uncorrected, meV/atom: -447
# E_tot, Ry/atom: -0.2334
# Magnetization, μB per atom: 0.45
data_Tl2Ni3Br8
_chemical_formula_sum 'Tl2 Ni3 Br8'
_space_group_name_H-M_alt 'P 1'
_space_group_IT_number 1
_space_group_name_Hall 'P 1'
_cell_length_a 7.645
_cell_length_b 6.652
_cell_length_c 8.829
_cell_angle_alpha 104.77
_cell_angle_beta 115.65
_cell_angle_gamma 90.00
loop_
_atom_site_label
_atom_site_fract_x
_atom_site_fract_y
_atom_site_fract_z
Tl1 0.265 0.332 0.530
Ni1 0.000 0.500 0.000
Ni2 0.748 0.000 0.000
Br1 0.597 0.944 0.195
Br2 0.857 0.384 0.179
Br3 0.403 0.056 0.805
Br4 0.091 0.892 0.182
Br5 0.909 0.108 0.818
Tl2 0.735 0.668 0.470
Br6 0.323 0.384 0.179
Br7 0.677 0.616 0.821
Ni3 0.252 0.000 0.000
Br8 0.143 0.616 0.821

=====

No. 10
# PBE-GGA CaMn2Fe, relaxed
# Energy relative to the elements, eV per atom: 0.7532
# E_tot, Ry/atom: -0.4739
# Excess energy over the best structure of this formula in the dataset, meV per atom: 408.8
# Magnetization, μB per atom: 2.03
data_CaMn2Fe
_chemical_formula_sum 'Ca1 Mn2 Fe1'
_space_group_name_H-M_alt 'P 1'
_space_group_IT_number 1
_space_group_name_Hall 'P 1'
_cell_length_a 9.091
_cell_length_b 9.091
_cell_length_c 9.091
_cell_angle_alpha 18.54
_cell_angle_beta 18.54
_cell_angle_gamma 18.54
loop_
_atom_site_label
_atom_site_fract_x
_atom_site_fract_y
_atom_site_fract_z
Fe1 0.750 0.750 0.750
Ca1 0.250 0.250 0.250
Mn1 0.015 0.015 0.015
Mn2 0.485 0.485 0.485

=====

No. 11
# PBE-GGA In3RuF, relaxed
# Energy relative to the elements, uncorrected, meV/atom: 66
# E_tot, Ry/atom: -0.2798
# Excess energy over the best structure of this formula in the dataset, meV per atom: 437.2
# Magnetization, μB per atom: 0.00
data_In3RuF
_chemical_formula_sum 'In3 Ru1 F1'
_space_group_name_H-M_alt 'P 1'
_space_group_IT_number 1
_space_group_name_Hall 'P 1'
_cell_length_a 4.668
_cell_length_b 4.668
_cell_length_c 4.668
_cell_angle_alpha 90.00
_cell_angle_beta 90.00
_cell_angle_gamma 90.00
loop_
_atom_site_label
_atom_site_fract_x
_atom_site_fract_y
_atom_site_fract_z
F1 0.000 0.000 0.000
In1 0.000 0.000 0.500
Ru1 0.500 0.500 0.500
In2 0.500 0.000 0.000
In3 0.000 0.500 0.000

=====

Record order is preserved below.
Density: 5.33, 1.97, 2.26, 5.60, 14.60, 12.94, 6.69, 11.49, 5.24, 5.15, 7.58 Mg/m³